*1*
# PBE BiIr3Ru, optimized geometry
# crystal system = cubic
# spin magnetization = 0.00 μB/cell
data_BiIr3Ru
_chemical_formula_sum 'Bi1 Ir3 Ru1'
_symmetry_space_group_name_H-M 'P m -3 m'
_symmetry_Int_Tables_number 221
_symmetry_space_group_name_Hall '-P 4 2 3'
_cell_length_a 4.747
_cell_length_b 4.747
_cell_length_c 4.747
_cell_angle_alpha 90.00
_cell_angle_beta 90.00
_cell_angle_gamma 90.00
loop_
_atom_site_label
_atom_site_fract_x
_atom_site_fract_y
_atom_site_fract_z
Bi1 0.000 0.000 0.000
Ir1 0.000 0.500 0.500
Ru1 0.500 0.500 0.500


*2*
# PBE BiIr3Ru, optimized geometry
# crystal system = cubic
# spin magnetization = 3.98 μB/cell
data_BiIr3Ru
_chemical_formula_sum 'Bi1 Ir3 Ru1'
_symmetry_space_group_name_H-M 'P m -3 m'
_symmetry_Int_Tables_number 221
_symmetry_space_group_name_Hall '-P 4 2 3'
_cell_length_a 4.930
_cell_length_b 4.930
_cell_length_c 4.930
_cell_angle_alpha 90.00
_cell_angle_beta 90.00
_cell_angle_gamma 90.00
loop_
_atom_site_label
_atom_site_fract_x
_atom_site_fract_y
_atom_site_fract_z
Bi1 0.000 0.000 0.000
Ir1 0.000 0.000 0.500
Ru1 0.500 0.500 0.500


Decreasing stability: *1*, *2*


*1*
# PBE Bi2IrRu, optimized geometry
# crystal system = tetragonal
# spin magnetization = 0.00 μB/cell
data_Bi2IrRu
_chemical_formula_sum 'Bi8 Ir4 Ru4'
_symmetry_space_group_name_H-M 'I -4 2 d'
_symmetry_Int_Tables_number 122
_symmetry_space_group_name_Hall 'I -4 2bw'
_cell_length_a 6.127
_cell_length_b 6.127
_cell_length_c 12.148
_cell_angle_alpha 90.00
_cell_angle_beta 90.00
_cell_angle_gamma 90.00
loop_
_atom_site_label
_atom_site_fract_x
_atom_site_fract_y
_atom_site_fract_z
Bi1 0.248 0.250 0.125
Ir1 0.000 0.000 0.500
Ru1 0.000 0.000 0.000


*2*
# PBE Bi2IrRu, optimized geometry
# crystal system = cubic
# spin magnetization = 5.39 μB/cell
data_Bi2IrRu
_chemical_formula_sum 'Bi8 Ir4 Ru4'
_symmetry_space_group_name_H-M 'F m -3 m'
_symmetry_Int_Tables_number 225
_symmetry_space_group_name_Hall '-F 4 2 3'
_cell_length_a 6.866
_cell_length_b 6.866
_cell_length_c 6.866
_cell_angle_alpha 90.00
_cell_angle_beta 90.00
_cell_angle_gamma 90.00
loop_
_atom_site_label
_atom_site_fract_x
_atom_site_fract_y
_atom_site_fract_z
Bi1 0.250 0.250 0.250
Ir1 0.000 0.000 0.000
Ru1 0.000 0.000 0.500


Decreasing stability: *2*, *1*


*1*
# PBE BiIrS3, optimized geometry
# crystal system = cubic
# spin magnetization = 0.00 μB/cell
data_BiIrS3
_chemical_formula_sum 'Bi1 Ir1 S3'
_symmetry_space_group_name_H-M 'P m -3 m'
_symmetry_Int_Tables_number 221
_symmetry_space_group_name_Hall '-P 4 2 3'
_cell_length_a 4.685
_cell_length_b 4.685
_cell_length_c 4.685
_cell_angle_alpha 90.00
_cell_angle_beta 90.00
_cell_angle_gamma 90.00
loop_
_atom_site_label
_atom_site_fract_x
_atom_site_fract_y
_atom_site_fract_z
Bi1 0.000 0.000 0.000
Ir1 0.500 0.500 0.500
S1 0.000 0.500 0.500


*2*
# PBE BiIrS3, optimized geometry
# crystal system = cubic
# spin magnetization = 3.54 μB/cell
data_BiIrS3
_chemical_formula_sum 'Bi1 Ir1 S3'
_symmetry_space_group_name_H-M 'P m -3 m'
_symmetry_Int_Tables_number 221
_symmetry_space_group_name_Hall '-P 4 2 3'
_cell_length_a 5.138
_cell_length_b 5.138
_cell_length_c 5.138
_cell_angle_alpha 90.00
_cell_angle_beta 90.00
_cell_angle_gamma 90.00
loop_
_atom_site_label
_atom_site_fract_x
_atom_site_fract_y
_atom_site_fract_z
Bi1 0.000 0.000 0.000
Ir1 0.500 0.500 0.500
S1 0.000 0.000 0.500


Decreasing stability: *1*, *2*


*1*
# PBE Bi2Ir2S, optimized geometry
# crystal system = tetragonal
# spin magnetization = 0.00 μB/cell
data_Bi2Ir2S
_chemical_formula_sum 'Bi4 Ir4 S2'
_symmetry_space_group_name_H-M 'P 4/m b m'
_symmetry_Int_Tables_number 127
_symmetry_space_group_name_Hall '-P 4 2ab'
_cell_length_a 8.250
_cell_length_b 8.250
_cell_length_c 3.132
_cell_angle_alpha 90.00
_cell_angle_beta 90.00
_cell_angle_gamma 90.00
loop_
_atom_site_label
_atom_site_fract_x
_atom_site_fract_y
_atom_site_fract_z
Bi1 0.172 0.328 0.000
Ir1 0.120 0.620 0.500
S1 0.000 0.000 0.000


*2*
# PBE Bi2Ir2S, optimized geometry
# crystal system = tetragonal
# spin magnetization = 0.00 μB/cell
data_Bi2Ir2S
_chemical_formula_sum 'Bi4 Ir4 S2'
_symmetry_space_group_name_H-M 'I 4/m m m'
_symmetry_Int_Tables_number 139
_symmetry_space_group_name_Hall '-I 4 2'
_cell_length_a 3.781
_cell_length_b 3.781
_cell_length_c 15.668
_cell_angle_alpha 90.00
_cell_angle_beta 90.00
_cell_angle_gamma 90.00
loop_
_atom_site_label
_atom_site_fract_x
_atom_site_fract_y
_atom_site_fract_z
Bi1 0.000 0.000 0.113
Ir1 0.000 0.500 0.250
S1 0.000 0.000 0.500


Decreasing stability: *2*, *1*


*1*
# PBE BiSb2Ir2, optimized geometry
# crystal system = tetragonal
# spin magnetization = 0.00 μB/cell
data_BiSb2Ir2
_chemical_formula_sum 'Bi2 Sb4 Ir4'
_symmetry_space_group_name_H-M 'P 4/m b m'
_symmetry_Int_Tables_number 127
_symmetry_space_group_name_Hall '-P 4 2ab'
_cell_length_a 8.038
_cell_length_b 8.038
_cell_length_c 3.246
_cell_angle_alpha 90.00
_cell_angle_beta 90.00
_cell_angle_gamma 90.00
loop_
_atom_site_label
_atom_site_fract_x
_atom_site_fract_y
_atom_site_fract_z
Bi1 0.000 0.000 0.000
Sb1 0.151 0.349 0.500
Ir1 0.131 0.631 0.000


*2*
# PBE BiSb2Ir2, optimized geometry
# crystal system = tetragonal
# spin magnetization = 0.00 μB/cell
data_BiSb2Ir2
_chemical_formula_sum 'Bi2 Sb4 Ir4'
_symmetry_space_group_name_H-M 'I 4/m m m'
_symmetry_Int_Tables_number 139
_symmetry_space_group_name_Hall '-I 4 2'
_cell_length_a 4.381
_cell_length_b 4.381
_cell_length_c 11.627
_cell_angle_alpha 90.00
_cell_angle_beta 90.00
_cell_angle_gamma 90.00
loop_
_atom_site_label
_atom_site_fract_x
_atom_site_fract_y
_atom_site_fract_z
Bi1 0.000 0.000 0.000
Sb1 0.000 0.500 0.250
Ir1 0.000 0.000 0.386


Decreasing stability: *1*, *2*


*1*
# PBE BiSbTe2Ir, optimized geometry
# crystal system = tetragonal
# spin magnetization = 2.24 μB/cell
data_BiSbTe2Ir
_chemical_formula_sum 'Bi1 Sb1 Te2 Ir1'
_symmetry_space_group_name_H-M 'P 4/m m m'
_symmetry_Int_Tables_number 123
_symmetry_space_group_name_Hall '-P 4 2'
_cell_length_a 5.811
_cell_length_b 5.811
_cell_length_c 5.778
_cell_angle_alpha 90.00
_cell_angle_beta 90.00
_cell_angle_gamma 90.00
loop_
_atom_site_label
_atom_site_fract_x
_atom_site_fract_y
_atom_site_fract_z
Bi1 0.000 0.000 0.000
Sb1 0.000 0.000 0.500
Te1 0.000 0.500 0.000
Ir1 0.500 0.500 0.500


*2*
# PBE BiSbTe2Ir, optimized geometry
# crystal system = tetragonal
# spin magnetization = 0.00 μB/cell
data_BiSbTe2Ir
_chemical_formula_sum 'Bi1 Sb1 Te2 Ir1'
_symmetry_space_group_name_H-M 'P 4/m m m'
_symmetry_Int_Tables_number 123
_symmetry_space_group_name_Hall '-P 4 2'
_cell_length_a 5.451
_cell_length_b 5.451
_cell_length_c 4.972
_cell_angle_alpha 90.00
_cell_angle_beta 90.00
_cell_angle_gamma 90.00
loop_
_atom_site_label
_atom_site_fract_x
_atom_site_fract_y
_atom_site_fract_z
Bi1 0.000 0.000 0.000
Sb1 0.500 0.500 0.000
Te1 0.000 0.500 0.500
Ir1 0.500 0.500 0.500


Decreasing stability: *2*, *1*


*1*
# PBE Sc2BiIr2, optimized geometry
# crystal system = tetragonal
# spin magnetization = 0.00 μB/cell
data_Sc2BiIr2
_chemical_formula_sum 'Sc4 Bi2 Ir4'
_symmetry_space_group_name_H-M 'P 4/m b m'
_symmetry_Int_Tables_number 127
_symmetry_space_group_name_Hall '-P 4 2ab'
_cell_length_a 7.775
_cell_length_b 7.775
_cell_length_c 3.205
_cell_angle_alpha 90.00
_cell_angle_beta 90.00
_cell_angle_gamma 90.00
loop_
_atom_site_label
_atom_site_fract_x
_atom_site_fract_y
_atom_site_fract_z
Sc1 0.156 0.344 0.000
Bi1 0.000 0.000 0.500
Ir1 0.135 0.635 0.500


*2*
# PBE Sc2BiIr2, optimized geometry
# crystal system = tetragonal
# spin magnetization = 0.00 μB/cell
data_Sc2BiIr2
_chemical_formula_sum 'Sc4 Bi2 Ir4'
_symmetry_space_group_name_H-M 'P 4/m b m'
_symmetry_Int_Tables_number 127
_symmetry_space_group_name_Hall '-P 4 2ab'
_cell_length_a 8.001
_cell_length_b 8.001
_cell_length_c 3.092
_cell_angle_alpha 90.00
_cell_angle_beta 90.00
_cell_angle_gamma 90.00
loop_
_atom_site_label
_atom_site_fract_x
_atom_site_fract_y
_atom_site_fract_z
Sc1 0.143 0.357 0.000
Bi1 0.000 0.000 0.000
Ir1 0.143 0.643 0.500


Decreasing stability: *1*, *2*


*1*
# PBE Sc4BiIr, optimized geometry
# crystal system = monoclinic
# spin magnetization = 0.00 μB/cell
data_Sc4BiIr
_chemical_formula_sum 'Sc8 Bi2 Ir2'
_symmetry_space_group_name_H-M 'P 1 21/m 1'
_symmetry_Int_Tables_number 11
_cell_length_a 5.409
_cell_length_b 6.128
_cell_length_c 8.209
_cell_angle_alpha 90.00
_cell_angle_beta 99.67
_cell_angle_gamma 90.00
loop_
_symmetry_equiv_pos_as_xyz
'x,y,z'
'-x,-y,-z'
'-x,y+1/2,-z'
'x,-y+1/2,z'
loop_
_atom_site_label
_atom_site_fract_x
_atom_site_fract_y
_atom_site_fract_z
Sc1 0.142 0.250 0.051
Sc2 0.206 0.750 0.333
Sc3 0.324 0.507 0.756
Bi1 0.226 0.250 0.425
Ir1 0.357 0.750 0.038


*2*
# PBE Sc4BiIr, optimized geometry
# crystal system = triclinic
# spin magnetization = 0.00 μB/cell
data_Sc4BiIr
_chemical_formula_sum 'Sc8 Bi2 Ir2'
_symmetry_space_group_name_H-M 'P -1'
_symmetry_Int_Tables_number 2
_cell_length_a 4.646
_cell_length_b 8.007
_cell_length_c 8.023
_cell_angle_alpha 101.94
_cell_angle_beta 90.05
_cell_angle_gamma 106.83
loop_
_symmetry_equiv_pos_as_xyz
'x,y,z'
'-x,-y,-z'
loop_
_atom_site_label
_atom_site_fract_x
_atom_site_fract_y
_atom_site_fract_z
Sc1 0.038 0.076 0.347
Sc2 0.178 0.355 0.117
Sc3 0.327 0.653 0.504
Sc4 0.437 0.874 0.138
Bi1 0.200 0.400 0.756
Ir1 0.000 0.000 0.000
Ir2 0.500 0.000 0.500


Decreasing stability: *1*, *2*